No. 1
{
  "formula": "AcTaAu",
  "functional": "PBE-GGA",
  "state": "relaxed",
  "lattice": [[3.715, 0.000, 0.000], [0.000, 3.715, 0.000], [0.000, 0.000, 11.198]],
  "species": ["Ac", "Ac", "Ta", "Ta", "Au", "Au"],
  "fractional_positions": [[0.000, 0.000, 0.188], [0.000, 0.000, 0.812], [0.500, 0.500, 0.390], [0.500, 0.500, 0.610], [0.000, 0.000, 0.500], [0.500, 0.500, 0.000]],
  "sg": "P4/mmm",
  "e_form_mev_per_atom": 55.8,
  "crystal_system": "tetragonal"
}



No. 2
{
  "formula": "AcTb2Au",
  "functional": "PBE-GGA",
  "state": "relaxed",
  "lattice": [[5.537, 0.000, 0.000], [0.000, 5.537, 0.000], [0.000, 0.000, 3.793]],
  "species": ["Ac", "Tb", "Tb", "Au"],
  "fractional_positions": [[0.000, 0.000, 0.000], [0.000, 0.500, 0.500], [0.500, 0.000, 0.500], [0.500, 0.500, 0.000]],
  "sg": "P4/mmm",
  "polymorph_energy_mev_per_atom": 287,
  "e_form_mev_per_atom": -91.0,
  "crystal_system": "tetragonal"
}